First-principles (PBE) data for an optimized crystal structure of Mg9Zn4Pd11, as listed in the Alexandria database.

Properties
Total magnetic moment (Bohr magnetons per cell): 0.0
Energy of formation from the pure elements (eV/atom): -0.63

POSCAR file:
```
Mg9Zn4Pd11
1.0
-1.384 0.901 2.495
3.826 -9.554 5.575
7.665 8.780 1.082
Zn Mg Pd
4 9 11
direct
0.500 0.250 0.435
0.500 0.435 0.250
0.500 0.565 0.750
0.500 0.750 0.565
0.500 0.378 0.850
0.500 0.850 0.378
0.500 0.795 0.963
0.500 0.622 0.150
0.500 0.150 0.622
0.500 0.500 0.500
0.500 0.205 0.037
0.500 0.037 0.205
0.500 0.963 0.795
0.000 0.172 0.828
0.000 0.593 0.944
0.000 0.371 0.629
0.000 0.749 0.749
0.000 0.828 0.172
0.000 0.407 0.056
0.000 0.944 0.593
0.000 0.629 0.371
0.000 0.056 0.407
0.000 0.000 0.000
0.000 0.251 0.251
```